Here is an optimized crystal structure of BaGa3Pt from Alexandria via LeMat-Bulk. Energies are from PBE.

Cell and atoms, written as POSCAR:
```
BaGa3Pt
1.0
4.981 0.000 0.000
0.000 4.981 0.000
0.000 0.000 4.981
Ba Ga Pt
1 3 1
Cartesian
0.000 0.000 0.000 Ba
0.000 2.491 2.491 Ga
2.491 0.000 2.491 Ga
2.491 2.491 0.000 Ga
2.491 2.491 2.491 Pt
```

Values from the calculation:
- formation enthalpy at 0 K (eV/f.u.) = -2.014
- SG = Pm-3m
- total magnetic moment (μB/atom) = 0.00


Here is an optimized crystal structure of BaGa6Pt3 from Alexandria via LeMat-Bulk. Energies are from PBE.

Cell and atoms, written as POSCAR:
```
BaGa6Pt3
1.0
7.365 0.000 0.000
0.000 6.929 0.000
-3.720 0.000 7.699
Ba Ga Pt
2 12 6
Cartesian
0.000 0.000 0.000 Ba
-1.860 3.465 3.849 Ba
-1.517 0.100 5.226 Ga
0.343 3.365 1.377 Ga
-0.947 4.698 6.936 Ga
0.913 5.696 3.086 Ga
2.300 1.514 1.907 Ga
0.440 1.950 5.757 Ga
3.205 4.979 1.942 Ga
1.345 5.415 5.791 Ga
2.732 1.233 4.612 Ga
4.592 2.231 0.763 Ga
3.302 3.565 6.322 Ga
5.162 6.829 2.473 Ga
0.061 1.060 3.221 Pt
-1.799 2.404 7.071 Pt
3.683 0.000 0.000 Pt
1.823 3.465 3.849 Pt
5.444 4.525 0.628 Pt
3.584 5.869 4.477 Pt
```

Values from the calculation:
- formation enthalpy at 0 K (eV/f.u.) = -4.755
- SG = P2_1/c
- total magnetic moment (μB/atom) = 0.00


Here is an optimized crystal structure of BaGa12Pt4 from Alexandria via LeMat-Bulk. Energies are from PBE.

Cell and atoms, written as POSCAR:
```
BaGa12Pt4
1.0
-4.481 4.481 4.481
4.481 -4.481 4.481
4.481 4.481 -4.481
Ba Ga Pt
1 12 4
Cartesian
0.000 0.000 0.000 Ba
3.148 0.000 1.469 Ga
5.814 0.000 1.469 Ga
4.481 3.012 -1.333 Ga
1.469 3.148 0.000 Ga
3.012 -1.333 4.481 Ga
4.481 3.012 1.333 Ga
0.000 1.469 3.148 Ga
1.469 5.814 0.000 Ga
3.012 1.333 4.481 Ga
0.000 1.469 5.814 Ga
-1.333 4.481 3.012 Ga
1.333 4.481 3.012 Ga
2.241 2.241 -2.241 Pt
2.241 -2.241 2.241 Pt
-2.241 2.241 2.241 Pt
2.241 2.241 2.241 Pt
```

Values from the calculation:
- formation enthalpy at 0 K (eV/f.u.) = -6.152
- SG = Im-3
- total magnetic moment (μB/atom) = 0.00


Here is an optimized crystal structure of BaGa3Pt from Alexandria via LeMat-Bulk. Energies are from PBE.

Cell and atoms, written as POSCAR:
```
BaGa3Pt
1.0
5.854 0.000 0.000
0.000 5.854 0.000
0.000 0.000 5.854
Ba Ga Pt
1 3 1
Cartesian
0.000 0.000 0.000 Ba
0.000 0.000 2.927 Ga
0.000 2.927 0.000 Ga
2.927 0.000 0.000 Ga
2.927 2.927 2.927 Pt
```

Values from the calculation:
- formation enthalpy at 0 K (eV/f.u.) = 7.306
- SG = Pm-3m
- total magnetic moment (μB/atom) = 0.00


Here is an optimized crystal structure of Ba3GaPt from Alexandria via LeMat-Bulk. Energies are from PBE.

Cell and atoms, written as POSCAR:
```
Ba3GaPt
1.0
6.134 0.000 0.000
0.000 6.134 0.000
0.000 0.000 6.134
Ba Ga Pt
3 1 1
Cartesian
0.000 0.000 3.067 Ba
0.000 3.067 0.000 Ba
3.067 0.000 0.000 Ba
3.067 3.067 3.067 Ga
0.000 0.000 0.000 Pt
```

Values from the calculation:
- formation enthalpy at 0 K (eV/f.u.) = -1.501
- SG = Pm-3m
- total magnetic moment (μB/atom) = 0.18


Here is an optimized crystal structure of Ba2Ga3Pt from Alexandria via LeMat-Bulk. Energies are from PBE.

Cell and atoms, written as POSCAR:
```
Ba2Ga3Pt
1.0
4.427 0.000 0.000
0.000 4.924 0.000
0.000 0.000 7.786
Ba Ga Pt
2 3 1
Cartesian
0.000 0.000 0.000 Ba
2.213 0.000 3.772 Ba
0.000 2.462 2.525 Ga
0.000 2.462 5.155 Ga
2.213 2.462 6.452 Ga
2.213 2.462 1.236 Pt
```

Values from the calculation:
- formation enthalpy at 0 K (eV/f.u.) = -3.533
- SG = Pmm2
- total magnetic moment (μB/atom) = 0.00


Here is an optimized crystal structure of BaGa6Pt2 from Alexandria via LeMat-Bulk. Energies are from PBE.

Cell and atoms, written as POSCAR:
```
BaGa6Pt2
1.0
0.000 6.176 6.176
6.176 0.000 6.176
6.176 6.176 0.000
Ba Ga Pt
2 12 4
Cartesian
1.544 1.544 1.544 Ba
10.808 10.808 10.808 Ba
4.632 4.632 1.842 Ga
4.632 1.842 4.632 Ga
7.422 4.632 4.632 Ga
7.720 7.720 4.930 Ga
7.720 4.930 7.720 Ga
10.509 7.720 7.720 Ga
1.842 4.632 4.632 Ga
4.632 7.422 4.632 Ga
4.632 4.632 7.422 Ga
4.930 7.720 7.720 Ga
7.720 10.509 7.720 Ga
7.720 7.720 10.509 Ga
6.176 3.088 3.088 Pt
3.088 6.176 3.088 Pt
3.088 3.088 6.176 Pt
6.176 6.176 6.176 Pt
```

Values from the calculation:
- formation enthalpy at 0 K (eV/f.u.) = -1.864
- SG = Fd-3m
- total magnetic moment (μB/atom) = 0.00


Here is an optimized crystal structure of Ba2Ga12Pt7 from Alexandria via LeMat-Bulk. Energies are from PBE.

Cell and atoms, written as POSCAR:
```
Ba2Ga12Pt7
1.0
10.301 0.000 0.000
-5.151 8.921 0.000
0.000 0.000 4.257
Ba Ga Pt
2 12 7
Cartesian
0.000 0.000 0.000 Ba
0.000 5.947 2.129 Ba
-0.623 2.420 2.129 Ga
-2.757 6.137 0.000 Ga
-2.744 8.251 2.129 Ga
1.215 3.465 0.000 Ga
3.619 1.873 0.000 Ga
5.019 0.388 2.129 Ga
2.977 4.380 2.129 Ga
1.542 8.241 0.000 Ga
3.367 7.172 2.129 Ga
4.963 4.851 0.000 Ga
6.870 2.198 0.000 Ga
7.456 4.153 2.129 Ga
-1.373 3.746 0.000 Pt
2.016 2.004 2.129 Pt
-1.220 8.238 0.000 Pt
2.594 5.859 0.000 Pt
5.151 2.974 2.129 Pt
7.558 0.744 2.129 Pt
5.878 6.173 2.129 Pt
```

Values from the calculation:
- formation enthalpy at 0 K (eV/f.u.) = -14.087
- SG = P-6
- total magnetic moment (μB/atom) = 0.00